*1*
# GGA+U NaSrLaWO6, relaxed
data_NaSrLaWO6
_symmetry_space_group_name_H-M 'F -4 3 m'
_symmetry_Int_Tables_number 216
_symmetry_space_group_name_Hall 'F -4 2 3'
_cell_length_a 8.5944
_cell_length_b 8.5944
_cell_length_c 8.5944
_cell_angle_alpha 90.00
_cell_angle_beta 90.00
_cell_angle_gamma 90.00
loop_
_atom_site_label
_atom_site_type_symbol
_atom_site_fract_x
_atom_site_fract_y
_atom_site_fract_z
_atom_site_occupancy
Na1 Na 0.0000 0.0000 0.0000 1
Sr1 Sr 0.0000 0.0000 0.5000 1
La1 La 0.2500 0.2500 0.7500 1
W1 W 0.2500 0.2500 0.2500 1
O1 O 0.0230 0.2500 0.2500 1
# Total moment ... 0.0 μB per formula unit
# DOS at the Fermi energy ... 0.00 states/eV per cell
# Crystal system ... cubic
# Density ... 5.54 Mg/m³

*2*
# GGA+U NaSrLaWO6, relaxed
data_NaSrLaWO6
_symmetry_space_group_name_H-M 'F -4 3 m'
_symmetry_Int_Tables_number 216
_symmetry_space_group_name_Hall 'F -4 2 3'
_cell_length_a 8.1772
_cell_length_b 8.1772
_cell_length_c 8.1772
_cell_angle_alpha 90.00
_cell_angle_beta 90.00
_cell_angle_gamma 90.00
loop_
_atom_site_label
_atom_site_type_symbol
_atom_site_fract_x
_atom_site_fract_y
_atom_site_fract_z
_atom_site_occupancy
Na1 Na 0.0000 0.0000 0.0000 1
Sr1 Sr 0.2500 0.2500 0.7500 1
La1 La 0.2500 0.2500 0.2500 1
W1 W 0.0000 0.0000 0.5000 1
O1 O 0.0000 0.0000 0.2635 1
# Total moment ... 0.0 μB per formula unit
# DOS at the Fermi energy ... 0.00 states/eV per cell
# Crystal system ... cubic
# Density ... 6.43 Mg/m³

Which structure loses on stability? *2* does.